(1)
Here is crystalline ThAgSn at its relaxed geometry from the Alexandria database. Energies are from PBE.

Values from the calculation:
Formation enthalpy at 0 K, eV per atom: -0.27
Space group: F-43m, No. 216

```
data_ThAgSn
_chemical_formula_sum 'Th4 Ag4 Sn4'
_space_group_name_H-M_alt 'P 1'
_space_group_IT_number 1
_cell_length_a 6.921
_cell_length_b 6.921
_cell_length_c 6.921
_cell_angle_alpha 90.00
_cell_angle_beta 90.00
_cell_angle_gamma 90.00
loop_
_space_group_symop_operation_xyz
'x,y,z'
loop_
_atom_site_label
_atom_site_fract_x
_atom_site_fract_y
_atom_site_fract_z
_atom_site_occupancy
Th1 0.000 0.000 0.000 1
Th2 0.000 0.500 0.500 1
Th3 0.500 0.000 0.500 1
Th4 0.500 0.500 0.000 1
Ag1 0.250 0.250 0.250 1
Ag2 0.250 0.750 0.750 1
Ag3 0.750 0.250 0.750 1
Ag4 0.750 0.750 0.250 1
Sn1 0.000 0.000 0.500 1
Sn2 0.000 0.500 0.000 1
Sn3 0.500 0.000 0.000 1
Sn4 0.500 0.500 0.500 1
```

---

(2)
Here is crystalline ThAgSn3 at its relaxed geometry from the Alexandria database. Energies are from PBE.

Values from the calculation:
Formation enthalpy at 0 K, eV per atom: -0.31
Space group: Pbcm, No. 57

```
data_ThAgSn3
_chemical_formula_sum 'Th4 Ag4 Sn12'
_space_group_name_H-M_alt 'P 1'
_space_group_IT_number 1
_cell_length_a 13.339
_cell_length_b 6.288
_cell_length_c 6.248
_cell_angle_alpha 90.00
_cell_angle_beta 90.00
_cell_angle_gamma 90.00
loop_
_space_group_symop_operation_xyz
'x,y,z'
loop_
_atom_site_label
_atom_site_fract_x
_atom_site_fract_y
_atom_site_fract_z
_atom_site_occupancy
Th1 0.190 0.005 0.250 1
Th2 0.190 0.495 0.750 1
Th3 0.810 0.505 0.250 1
Th4 0.810 0.995 0.750 1
Ag1 0.393 0.250 0.000 1
Ag2 0.393 0.250 0.500 1
Ag3 0.607 0.750 0.000 1
Ag4 0.607 0.750 0.500 1
Sn1 0.000 0.250 0.000 1
Sn2 0.000 0.250 0.500 1
Sn3 0.000 0.750 0.000 1
Sn4 0.000 0.750 0.500 1
Sn5 0.254 0.511 0.250 1
Sn6 0.254 0.989 0.750 1
Sn7 0.429 0.651 0.750 1
Sn8 0.429 0.849 0.250 1
Sn9 0.571 0.151 0.750 1
Sn10 0.571 0.349 0.250 1
Sn11 0.746 0.011 0.250 1
Sn12 0.746 0.489 0.750 1
```

---

(3)
Here is crystalline ThAgSn at its relaxed geometry from the Alexandria database. Energies are from PBE.

Values from the calculation:
Formation enthalpy at 0 K, eV per atom: -0.01
Space group: Cmcm, No. 63

```
data_ThAgSn
_chemical_formula_sum 'Th4 Ag4 Sn4'
_space_group_name_H-M_alt 'P 1'
_space_group_IT_number 1
_cell_length_a 3.522
_cell_length_b 15.745
_cell_length_c 5.592
_cell_angle_alpha 90.00
_cell_angle_beta 90.00
_cell_angle_gamma 90.00
loop_
_space_group_symop_operation_xyz
'x,y,z'
loop_
_atom_site_label
_atom_site_fract_x
_atom_site_fract_y
_atom_site_fract_z
_atom_site_occupancy
Th1 0.000 0.247 0.250 1
Th2 0.000 0.753 0.750 1
Th3 0.500 0.253 0.750 1
Th4 0.500 0.747 0.250 1
Ag1 0.000 0.423 0.750 1
Ag2 0.000 0.577 0.250 1
Ag3 0.500 0.077 0.250 1
Ag4 0.500 0.923 0.750 1
Sn1 0.000 0.073 0.750 1
Sn2 0.000 0.927 0.250 1
Sn3 0.500 0.427 0.250 1
Sn4 0.500 0.573 0.750 1
```

---

(4)
Here is crystalline ThAgSn at its relaxed geometry from the Alexandria database. Energies are from PBE.

Values from the calculation:
Formation enthalpy at 0 K, eV per atom: 0.26
Space group: I4mm, No. 107

```
data_ThAgSn
_chemical_formula_sum 'Th2 Ag2 Sn2'
_space_group_name_H-M_alt 'P 1'
_space_group_IT_number 1
_cell_length_a 3.201
_cell_length_b 3.201
_cell_length_c 16.802
_cell_angle_alpha 90.00
_cell_angle_beta 90.00
_cell_angle_gamma 90.00
loop_
_space_group_symop_operation_xyz
'x,y,z'
loop_
_atom_site_label
_atom_site_fract_x
_atom_site_fract_y
_atom_site_fract_z
_atom_site_occupancy
Th1 0.000 0.000 0.000 1
Th2 0.500 0.500 0.500 1
Ag1 0.000 0.000 0.642 1
Ag2 0.500 0.500 0.142 1
Sn1 0.000 0.000 0.807 1
Sn2 0.500 0.500 0.307 1
```

---

(5)
Here is crystalline ThAg2Sn2 at its relaxed geometry from the Alexandria database. Energies are from PBE.

Values from the calculation:
Formation enthalpy at 0 K, eV per atom: -0.31
Space group: Cmcm, No. 63

```
data_ThAg2Sn2
_chemical_formula_sum 'Th2 Ag4 Sn4'
_space_group_name_H-M_alt 'P 1'
_space_group_IT_number 1
_cell_length_a 12.215
_cell_length_b 12.215
_cell_length_c 4.503
_cell_angle_alpha 90.00
_cell_angle_beta 90.00
_cell_angle_gamma 158.90
loop_
_space_group_symop_operation_xyz
'x,y,z'
loop_
_atom_site_label
_atom_site_fract_x
_atom_site_fract_y
_atom_site_fract_z
_atom_site_occupancy
Th1 0.145 0.855 0.750 1
Th2 0.855 0.145 0.250 1
Ag1 0.038 0.962 0.250 1
Ag2 0.461 0.539 0.250 1
Ag3 0.539 0.461 0.750 1
Ag4 0.962 0.038 0.750 1
Sn1 0.250 0.750 0.250 1
Sn2 0.383 0.617 0.750 1
Sn3 0.617 0.383 0.250 1
Sn4 0.750 0.250 0.750 1
```

---

(6)
Here is crystalline ThAg3Sn3 at its relaxed geometry from the Alexandria database. Energies are from PBE.

Values from the calculation:
Formation enthalpy at 0 K, eV per atom: 0.45
Space group: Pm-3n, No. 223

```
data_ThAg3Sn3
_chemical_formula_sum 'Th2 Ag6 Sn6'
_space_group_name_H-M_alt 'P 1'
_space_group_IT_number 1
_cell_length_a 7.444
_cell_length_b 7.444
_cell_length_c 7.444
_cell_angle_alpha 90.00
_cell_angle_beta 90.00
_cell_angle_gamma 90.00
loop_
_space_group_symop_operation_xyz
'x,y,z'
loop_
_atom_site_label
_atom_site_fract_x
_atom_site_fract_y
_atom_site_fract_z
_atom_site_occupancy
Th1 0.000 0.000 0.000 1
Th2 0.500 0.500 0.500 1
Ag1 0.000 0.250 0.500 1
Ag2 0.000 0.750 0.500 1
Ag3 0.250 0.500 0.000 1
Ag4 0.500 0.000 0.250 1
Ag5 0.500 0.000 0.750 1
Ag6 0.750 0.500 0.000 1
Sn1 0.000 0.500 0.250 1
Sn2 0.000 0.500 0.750 1
Sn3 0.250 0.000 0.500 1
Sn4 0.500 0.250 0.000 1
Sn5 0.500 0.750 0.000 1
Sn6 0.750 0.000 0.500 1
```

---

(7)
Here is crystalline Th3Ag4Sn2 at its relaxed geometry from the Alexandria database. Energies are from PBE.

Values from the calculation:
Formation enthalpy at 0 K, eV per atom: -0.33
Space group: C2/m, No. 12

```
data_Th3Ag4Sn2
_chemical_formula_sum 'Th3 Ag4 Sn2'
_space_group_name_H-M_alt 'P 1'
_space_group_IT_number 1
_cell_length_a 6.074
_cell_length_b 6.074
_cell_length_c 9.266
_cell_angle_alpha 115.86
_cell_angle_beta 115.86
_cell_angle_gamma 47.73
loop_
_space_group_symop_operation_xyz
'x,y,z'
loop_
_atom_site_label
_atom_site_fract_x
_atom_site_fract_y
_atom_site_fract_z
_atom_site_occupancy
Th1 0.000 0.000 0.000 1
Th2 0.337 0.337 0.325 1
Th3 0.663 0.663 0.675 1
Ag1 0.079 0.079 0.418 1
Ag2 0.292 0.292 0.963 1
Ag3 0.708 0.708 0.037 1
Ag4 0.921 0.921 0.582 1
Sn1 0.386 0.386 0.721 1
Sn2 0.614 0.614 0.279 1
```

---

(8)
Here is crystalline ThAgSn at its relaxed geometry from the Alexandria database. Energies are from PBE.

Values from the calculation:
Formation enthalpy at 0 K, eV per atom: -0.37
Space group: C2/m, No. 12

```
data_ThAgSn
_chemical_formula_sum 'Th4 Ag4 Sn4'
_space_group_name_H-M_alt 'P 1'
_space_group_IT_number 1
_cell_length_a 8.963
_cell_length_b 8.506
_cell_length_c 4.784
_cell_angle_alpha 90.00
_cell_angle_beta 122.24
_cell_angle_gamma 90.00
loop_
_space_group_symop_operation_xyz
'x,y,z'
loop_
_atom_site_label
_atom_site_fract_x
_atom_site_fract_y
_atom_site_fract_z
_atom_site_occupancy
Th1 0.248 0.000 0.249 1
Th2 0.252 0.500 0.751 1
Th3 0.748 0.500 0.249 1
Th4 0.752 0.000 0.751 1
Ag1 0.000 0.161 0.500 1
Ag2 0.000 0.839 0.500 1
Ag3 0.500 0.339 0.500 1
Ag4 0.500 0.661 0.500 1
Sn1 0.000 0.327 0.000 1
Sn2 0.000 0.673 0.000 1
Sn3 0.500 0.173 0.000 1
Sn4 0.500 0.827 0.000 1
```

---

(9)
Here is crystalline ThAg3Sn at its relaxed geometry from the Alexandria database. Energies are from PBE.

Values from the calculation:
Formation enthalpy at 0 K, eV per atom: -0.08
Space group: Cmcm, No. 63

```
data_ThAg3Sn
_chemical_formula_sum 'Th2 Ag6 Sn2'
_space_group_name_H-M_alt 'P 1'
_space_group_IT_number 1
_cell_length_a 14.064
_cell_length_b 14.064
_cell_length_c 4.868
_cell_angle_alpha 90.00
_cell_angle_beta 90.00
_cell_angle_gamma 166.22
loop_
_space_group_symop_operation_xyz
'x,y,z'
loop_
_atom_site_label
_atom_site_fract_x
_atom_site_fract_y
_atom_site_fract_z
_atom_site_occupancy
Th1 0.076 0.924 0.750 1
Th2 0.924 0.076 0.250 1
Ag1 0.318 0.682 0.250 1
Ag2 0.373 0.627 0.750 1
Ag3 0.475 0.525 0.750 1
Ag4 0.525 0.475 0.250 1
Ag5 0.627 0.373 0.250 1
Ag6 0.682 0.318 0.750 1
Sn1 0.212 0.788 0.250 1
Sn2 0.788 0.212 0.750 1
```

---

(10)
Here is crystalline YThAgSn at its relaxed geometry from the Alexandria database. Energies are from PBE.

Values from the calculation:
Formation enthalpy at 0 K, eV per atom: -0.37
Space group: F-43m, No. 216

```
data_YThAgSn
_chemical_formula_sum 'Y4 Th4 Ag4 Sn4'
_space_group_name_H-M_alt 'P 1'
_space_group_IT_number 1
_cell_length_a 7.530
_cell_length_b 7.530
_cell_length_c 7.530
_cell_angle_alpha 90.00
_cell_angle_beta 90.00
_cell_angle_gamma 90.00
loop_
_space_group_symop_operation_xyz
'x,y,z'
loop_
_atom_site_label
_atom_site_fract_x
_atom_site_fract_y
_atom_site_fract_z
_atom_site_occupancy
Y1 0.000 0.000 0.000 1
Y2 0.000 0.500 0.500 1
Y3 0.500 0.000 0.500 1
Y4 0.500 0.500 0.000 1
Th1 0.000 0.000 0.500 1
Th2 0.000 0.500 0.000 1
Th3 0.500 0.000 0.000 1
Th4 0.500 0.500 0.500 1
Ag1 0.250 0.250 0.250 1
Ag2 0.250 0.750 0.750 1
Ag3 0.750 0.250 0.750 1
Ag4 0.750 0.750 0.250 1
Sn1 0.250 0.250 0.750 1
Sn2 0.250 0.750 0.250 1
Sn3 0.750 0.250 0.250 1
Sn4 0.750 0.750 0.750 1
```

---

(11)
Here is crystalline ThZrAgSn at its relaxed geometry from the Alexandria database. Energies are from PBE.

Values from the calculation:
Formation enthalpy at 0 K, eV per atom: -0.18
Space group: F-43m, No. 216

```
data_ThZrAgSn
_chemical_formula_sum 'Th4 Zr4 Ag4 Sn4'
_space_group_name_H-M_alt 'P 1'
_space_group_IT_number 1
_cell_length_a 7.352
_cell_length_b 7.352
_cell_length_c 7.352
_cell_angle_alpha 90.00
_cell_angle_beta 90.00
_cell_angle_gamma 90.00
loop_
_space_group_symop_operation_xyz
'x,y,z'
loop_
_atom_site_label
_atom_site_fract_x
_atom_site_fract_y
_atom_site_fract_z
_atom_site_occupancy
Th1 0.000 0.000 0.000 1
Th2 0.000 0.500 0.500 1
Th3 0.500 0.000 0.500 1
Th4 0.500 0.500 0.000 1
Zr1 0.000 0.000 0.500 1
Zr2 0.000 0.500 0.000 1
Zr3 0.500 0.000 0.000 1
Zr4 0.500 0.500 0.500 1
Ag1 0.250 0.250 0.750 1
Ag2 0.250 0.750 0.250 1
Ag3 0.750 0.250 0.250 1
Ag4 0.750 0.750 0.750 1
Sn1 0.250 0.250 0.250 1
Sn2 0.250 0.750 0.750 1
Sn3 0.750 0.250 0.750 1
Sn4 0.750 0.750 0.250 1
```

---

(12)
Here is crystalline TiAgSn at its relaxed geometry from the Alexandria database. Energies are from PBE.

Values from the calculation:
Formation enthalpy at 0 K, eV per atom: -0.05
Space group: P3m1, No. 156

```
data_TiAgSn
_chemical_formula_sum 'Ti1 Ag1 Sn1'
_space_group_name_H-M_alt 'P 1'
_space_group_IT_number 1
_cell_length_a 4.657
_cell_length_b 4.657
_cell_length_c 3.077
_cell_angle_alpha 90.00
_cell_angle_beta 90.00
_cell_angle_gamma 120.00
loop_
_space_group_symop_operation_xyz
'x,y,z'
loop_
_atom_site_label
_atom_site_fract_x
_atom_site_fract_y
_atom_site_fract_z
_atom_site_occupancy
Ti1 0.000 0.000 0.000 1
Ag1 0.333 0.667 0.494 1
Sn1 0.667 0.333 0.504 1
```

---

Number 1: Fermi-level density of states 8.93 states/eV per cell. Number 2: Fermi-level density of states 9.10 states/eV per cell. Number 3: Fermi-level density of states 9.67 states/eV per cell. Number 4: Fermi-level density of states 5.21 states/eV per cell. Number 5: Fermi-level density of states 4.88 states/eV per cell. Number 6: Fermi-level density of states 12.22 states/eV per cell. Number 7: Fermi-level density of states 4.79 states/eV per cell. Number 8: Fermi-level density of states 5.74 states/eV per cell. Number 9: Fermi-level density of states 6.91 states/eV per cell. Number 10: Fermi-level density of states 15.94 states/eV per cell. Number 11: Fermi-level density of states 16.91 states/eV per cell. Number 12: Fermi-level density of states 2.97 states/eV per cell.